# 1
A relaxed structure of RbTi3Cu, computed with PBEsol.

The structure in POSCAR format:
```
RbTi3Cu
1.0
4.797 0.000 0.000
0.000 4.797 0.000
0.000 0.000 4.797
Cu Rb Ti
1 1 3
direct
0.000 0.000 0.000
0.500 0.500 0.500
0.000 0.500 0.000
0.000 0.000 0.500
0.500 0.000 0.000
```

Output
The electronic total energy is -4.971 eV per atom. The calculation puts the calculated volume at 110.38 Å³ per cell. The mass density is 4.40 Mg/m³. The total magnetic moment comes out at 0.0 μB per formula unit. The space group is Pm-3m, No. 221. As for the formation energy: 1095 meV/atom.

***

# 2
A relaxed structure of Cd2AgAu, computed with PBEsol.

The structure in POSCAR format:
```
Cd2AgAu
1.0
3.680 0.000 0.000
0.000 4.409 0.483
0.000 -0.492 4.408
Au Ag Cd
1 1 2
direct
0.500 0.500 0.500
0.500 0.000 0.000
0.000 0.500 0.000
0.000 0.000 0.500
```

Output
The electronic total energy is -2.543 eV per atom. The calculation puts the calculated volume at 72.39 Å³ per cell. The mass density is 12.15 Mg/m³. Its energy above the most stable polymorph in this dataset is 7 meV per atom. The total magnetic moment comes out at 0.0 μB per formula unit. The space group is Cmmm, No. 65. As for the formation energy: -135 meV/atom.

***

# 3
A relaxed structure of LiMn2O4, computed with PBEsol.

The structure in POSCAR format:
```
LiMn2O4
1.0
-2.339 -0.924 1.257
2.300 -4.030 1.313
0.610 3.503 3.707
Mn O Li
2 4 1
direct
0.000 0.000 0.000
0.500 0.500 0.000
0.000 0.257 0.784
0.000 0.743 0.216
0.500 0.232 0.208
0.500 0.768 0.792
0.500 0.000 0.500
```

Output
The electronic total energy is -7.841 eV per atom. The calculation puts the calculated volume at 66.07 Å³ per cell. The mass density is 4.54 Mg/m³. Its energy above the most stable polymorph in this dataset is 78 meV per atom. The total magnetic moment comes out at 5.0 μB per formula unit. The space group is P2/m, No. 10. As for the formation energy (no corrections): -1.77 eV per atom.

***

# 4
A relaxed structure of Y3HOs, computed with PBEsol.

The structure in POSCAR format:
```
Y3HOs
1.0
4.562 0.000 0.000
0.000 4.562 0.000
0.000 0.000 4.562
Y H Os
3 1 1
direct
0.000 0.500 0.000
0.000 0.000 0.500
0.500 0.000 0.000
0.000 0.000 0.000
0.500 0.500 0.500
```

Output
The electronic total energy is -7.182 eV per atom. The calculation puts the calculated volume at 94.94 Å³ per cell. The mass density is 8.01 Mg/m³. The total magnetic moment comes out at 0.0 μB per formula unit. The space group is Pm-3m, No. 221.